# AcCu2OsO8 | the Alexandria database | PBE | relaxed
# ΔE_f (raw) (eV/atom): -0.965
data_AcCu2OsO8
_chemical_formula_sum 'Ac2 Cu4 Os2 O16'
_symmetry_space_group_name_H-M 'I -4 m 2'
_symmetry_Int_Tables_number 119
_symmetry_space_group_name_Hall 'I -4 -2'
_cell_length_a 6.982
_cell_length_b 6.982
_cell_length_c 6.570
_cell_angle_alpha 90.00
_cell_angle_beta 90.00
_cell_angle_gamma 90.00
loop_
_atom_site_label
_atom_site_type_symbol
_atom_site_fract_x
_atom_site_fract_y
_atom_site_fract_z
Ac1 Ac 0.000 0.000 0.000
Cu1 Cu 0.000 0.000 0.500
Cu2 Cu 0.000 0.500 0.750
Os1 Os 0.000 0.500 0.250
O1 O 0.000 0.229 0.316
O2 O 0.000 0.345 0.979

# BeTeAs2 | the Alexandria database | PBE | relaxed
# ΔE_f (raw) (eV/atom): 0.143
# Energy above the most stable polymorph in this dataset (meV per atom): 89
data_BeTeAs2
_chemical_formula_sum 'Be1 Te1 As2'
_symmetry_space_group_name_H-M 'P 4 m m'
_symmetry_Int_Tables_number 99
_symmetry_space_group_name_Hall 'P 4 -2'
_cell_length_a 3.732
_cell_length_b 3.732
_cell_length_c 6.107
_cell_angle_alpha 90.00
_cell_angle_beta 90.00
_cell_angle_gamma 90.00
loop_
_atom_site_label
_atom_site_type_symbol
_atom_site_fract_x
_atom_site_fract_y
_atom_site_fract_z
Be1 Be 0.000 0.000 0.000
Te1 Te 0.500 0.500 0.099
As1 As 0.000 0.000 0.628
As2 As 0.500 0.500 0.550

# Co2AgAs | the Alexandria database | PBE | relaxed
# Formation enthalpy at 0 K (eV/atom): 0.264
data_Co2AgAs
_chemical_formula_sum 'Co4 Ag2 As2'
_symmetry_space_group_name_H-M 'I m m m'
_symmetry_Int_Tables_number 71
_symmetry_space_group_name_Hall '-I 2 2'
_cell_length_a 3.666
_cell_length_b 4.439
_cell_length_c 6.706
_cell_angle_alpha 90.00
_cell_angle_beta 90.00
_cell_angle_gamma 90.00
loop_
_atom_site_label
_atom_site_type_symbol
_atom_site_fract_x
_atom_site_fract_y
_atom_site_fract_z
Co1 Co 0.000 0.000 0.213
Ag1 Ag 0.000 0.500 0.000
As1 As 0.000 0.500 0.500

# PrS6I2 | the Alexandria database | PBE | relaxed
# ΔE_f (raw) (eV/atom): -0.394
data_PrS6I2
_chemical_formula_sum 'Pr1 S6 I2'
_symmetry_space_group_name_H-M 'P -1'
_symmetry_Int_Tables_number 2
_symmetry_space_group_name_Hall '-P 1'
_cell_length_a 4.692
_cell_length_b 8.677
_cell_length_c 8.763
_cell_angle_alpha 117.56
_cell_angle_beta 92.57
_cell_angle_gamma 92.33
loop_
_atom_site_label
_atom_site_type_symbol
_atom_site_fract_x
_atom_site_fract_y
_atom_site_fract_z
Pr1 Pr 0.000 0.000 0.000
S1 S 0.035 0.511 0.733
S2 S 0.035 0.737 0.515
S3 S 0.191 0.319 0.320
I1 I 0.499 0.146 0.859

# NaIn2SnI5 | the Alexandria database | PBE | relaxed
# ΔE_f (raw) (eV/atom): -0.632
data_NaIn2SnI5
_chemical_formula_sum 'Na4 In8 Sn4 I20'
_symmetry_space_group_name_H-M 'C m c 21'
_symmetry_Int_Tables_number 36
_symmetry_space_group_name_Hall 'C 2c -2'
_cell_length_a 4.676
_cell_length_b 20.122
_cell_length_c 16.170
_cell_angle_alpha 90.00
_cell_angle_beta 90.00
_cell_angle_gamma 90.00
loop_
_atom_site_label
_atom_site_type_symbol
_atom_site_fract_x
_atom_site_fract_y
_atom_site_fract_z
Na1 Na 0.000 0.049 0.000
In1 In 0.000 0.376 0.835
In2 In 0.000 0.415 0.198
Sn1 Sn 0.000 0.270 0.585
I1 I 0.000 0.000 0.322
I2 I 0.000 0.114 0.543
I3 I 0.000 0.207 0.954
I4 I 0.000 0.238 0.227
I5 I 0.000 0.427 0.621

# KGaPb | the Alexandria database | PBE | relaxed
# Formation enthalpy at 0 K (eV/atom): -0.052
data_KGaPb
_chemical_formula_sum 'K2 Ga2 Pb2'
_symmetry_space_group_name_H-M 'I 4 m m'
_symmetry_Int_Tables_number 107
_symmetry_space_group_name_Hall 'I 4 -2'
_cell_length_a 3.567
_cell_length_b 3.567
_cell_length_c 14.513
_cell_angle_alpha 90.00
_cell_angle_beta 90.00
_cell_angle_gamma 90.00
loop_
_atom_site_label
_atom_site_type_symbol
_atom_site_fract_x
_atom_site_fract_y
_atom_site_fract_z
K1 K 0.000 0.000 0.000
Ga1 Ga 0.000 0.000 0.329
Pb1 Pb 0.000 0.000 0.699

# BeAlFe | the Alexandria database | PBE | relaxed
# Formation enthalpy at 0 K (eV/atom): 0.352
# Energy above the most stable polymorph in this dataset (meV per atom): 571
data_BeAlFe
_chemical_formula_sum 'Be4 Al4 Fe4'
_symmetry_space_group_name_H-M 'F -4 3 m'
_symmetry_Int_Tables_number 216
_symmetry_space_group_name_Hall 'F -4 2 3'
_cell_length_a 5.447
_cell_length_b 5.447
_cell_length_c 5.447
_cell_angle_alpha 90.00
_cell_angle_beta 90.00
_cell_angle_gamma 90.00
loop_
_atom_site_label
_atom_site_type_symbol
_atom_site_fract_x
_atom_site_fract_y
_atom_site_fract_z
Be1 Be 0.000 0.000 0.000
Al1 Al 0.000 0.000 0.500
Fe1 Fe 0.250 0.250 0.250

# AcGdNi | the Alexandria database | PBE | relaxed
# Formation enthalpy at 0 K (eV/atom): -0.133
# Energy above the most stable polymorph in this dataset (meV per atom): 0
data_AcGdNi
_chemical_formula_sum 'Ac1 Gd1 Ni1'
_symmetry_space_group_name_H-M 'P 3 m 1'
_symmetry_Int_Tables_number 156
_symmetry_space_group_name_Hall 'P 3 -2"'
_cell_length_a 4.0962
_cell_length_b 4.0962
_cell_length_c 6.4632
_cell_angle_alpha 90.00
_cell_angle_beta 90.00
_cell_angle_gamma 120.00
loop_
_atom_site_label
_atom_site_type_symbol
_atom_site_fract_x
_atom_site_fract_y
_atom_site_fract_z
Ac1 Ac 0.0000 0.0000 0.0000
Gd1 Gd 0.6667 0.3333 0.5138
Ni1 Ni 0.3333 0.6667 0.7327

# MnSe | the Alexandria database | PBE | relaxed
# ΔE_f (raw) (eV/atom): -0.236
data_MnSe
_chemical_formula_sum 'Mn6 Se6'
_symmetry_space_group_name_H-M 'P m m n'
_symmetry_Int_Tables_number 59
_cell_length_a 3.755
_cell_length_b 12.059
_cell_length_c 5.627
_cell_angle_alpha 90.00
_cell_angle_beta 90.00
_cell_angle_gamma 90.00
loop_
_symmetry_equiv_pos_as_xyz
'x,y,z'
'-x,-y,-z'
'-x+1/2,-y+1/2,z'
'x+1/2,y+1/2,-z'
'x+1/2,-y,-z'
'-x+1/2,y,z'
'-x,y+1/2,-z'
'x,-y+1/2,z'
loop_
_atom_site_label
_atom_site_type_symbol
_atom_site_fract_x
_atom_site_fract_y
_atom_site_fract_z
Mn1 Mn 0.250 0.126 0.007
Mn2 Mn 0.250 0.750 0.646
Se1 Se 0.250 0.250 0.659
Se2 Se 0.250 0.552 0.746

# AlPdOF2 | the Alexandria database | PBE | relaxed
# ΔE_f (raw) (eV/atom): -1.889
# Energy above the most stable polymorph in this dataset (meV per atom): 0
data_AlPdOF2
_chemical_formula_sum 'Al1 Pd1 O1 F2'
_symmetry_space_group_name_H-M 'P 4/m m m'
_symmetry_Int_Tables_number 123
_symmetry_space_group_name_Hall '-P 4 2'
_cell_length_a 3.774
_cell_length_b 3.774
_cell_length_c 3.786
_cell_angle_alpha 90.00
_cell_angle_beta 90.00
_cell_angle_gamma 90.00
loop_
_atom_site_label
_atom_site_type_symbol
_atom_site_fract_x
_atom_site_fract_y
_atom_site_fract_z
Al1 Al 0.000 0.000 0.000
Pd1 Pd 0.500 0.500 0.500
O1 O 0.000 0.000 0.500
F1 F 0.000 0.500 0.000

# OsOF2 | the Alexandria database | PBE | relaxed
# ΔE_f (raw) (eV/atom): 0.072
# Energy above the most stable polymorph in this dataset (meV per atom): 211
data_OsOF2
_chemical_formula_sum 'Os4 O4 F8'
_symmetry_space_group_name_H-M 'I -4 2 d'
_symmetry_Int_Tables_number 122
_symmetry_space_group_name_Hall 'I -4 2bw'
_cell_length_a 3.228
_cell_length_b 3.228
_cell_length_c 15.398
_cell_angle_alpha 90.00
_cell_angle_beta 90.00
_cell_angle_gamma 90.00
loop_
_atom_site_label
_atom_site_type_symbol
_atom_site_fract_x
_atom_site_fract_y
_atom_site_fract_z
Os1 Os 0.000 0.000 0.000
O1 O 0.000 0.000 0.500
F1 F 0.219 0.250 0.125

# BaVSnMo2 | the Alexandria database | PBE | relaxed
# Formation enthalpy at 0 K (eV/atom): 1.925
data_BaVSnMo2
_chemical_formula_sum 'Ba1 V1 Sn1 Mo2'
_symmetry_space_group_name_H-M 'P 4/m m m'
_symmetry_Int_Tables_number 123
_symmetry_space_group_name_Hall '-P 4 2'
_cell_length_a 5.189
_cell_length_b 5.189
_cell_length_c 6.175
_cell_angle_alpha 90.00
_cell_angle_beta 90.00
_cell_angle_gamma 90.00
loop_
_atom_site_label
_atom_site_type_symbol
_atom_site_fract_x
_atom_site_fract_y
_atom_site_fract_z
Ba1 Ba 0.000 0.000 0.000
V1 V 0.500 0.500 0.000
Sn1 Sn 0.000 0.000 0.500
Mo1 Mo 0.000 0.500 0.500

no.,Fermi-level density of states (states/eV/cell),total energy (hartree per atom)
1,9.72,-0.2290
2,1.43,-0.1433
3,8.69,-0.1898
4,2.73,-0.1478
5,0.00,-0.0990
6,3.18,-0.0978
7,14.99,-0.1822
8,3.98,-0.2985
9,7.21,-0.2412
10,2.32,-0.1990
11,13.63,-0.1805
12,5.64,-0.1991